[1]
VASP calculation (PBE-GGA) on a geometry-optimized SrAsIr2Se structure.

Cell lengths 4.643, 4.643, 5.381 Å; angles 90.00, 90.00, 90.00 degrees
Space group P4/mmm (No. 123)
One atom of each set of equivalent atoms:
Sr1 0.000 0.000 0.000 [1 per cell]
As1 0.500 0.500 0.000 [1 per cell]
Ir1 0.000 0.500 0.500 [2 per cell]
Se1 0.500 0.500 0.500 [1 per cell]

Results
Density of states at the Fermi level = 1.3371 states/eV per atom
Electronic total energy = -5.0597 eV per atom
Formation energy without anion corrections = 2.240 eV per formula unit

[2]
VASP calculation (PBE-GGA) on a geometry-optimized SrAsIrSe2 structure.

Cell lengths 5.574, 5.574, 5.653 Å; angles 90.00, 90.00, 90.00 degrees
Space group P4/mmm (No. 123)
One atom of each set of equivalent atoms:
Sr1 0.000 0.000 0.000 [1 per cell]
As1 0.000 0.000 0.500 [1 per cell]
Ir1 0.500 0.500 0.500 [1 per cell]
Se1 0.000 0.500 0.000 [2 per cell]

Results
Density of states at the Fermi level = 1.6182 states/eV per atom
Electronic total energy = -2.9273 eV per atom
Formation energy without anion corrections = 7.525 eV per formula unit

[3]
VASP calculation (PBE-GGA) on a geometry-optimized TaAsIrSe2 structure.

Cell lengths 4.900, 4.900, 5.032 Å; angles 90.00, 90.00, 90.00 degrees
Space group P4/mmm (No. 123)
One atom of each set of equivalent atoms:
Ta1 0.000 0.000 0.000 [1 per cell]
As1 0.000 0.000 0.500 [1 per cell]
Ir1 0.500 0.500 0.500 [1 per cell]
Se1 0.000 0.500 0.000 [2 per cell]

Results
Density of states at the Fermi level = 1.4236 states/eV per atom
Electronic total energy = -5.4970 eV per atom
Formation energy without anion corrections = 4.847 eV per formula unit